A plane-wave DFT calculation with PBE was carried out for a geometry-optimized RbGaS structure.

Values from the calculation:
space-group type: Fddd, No. 70
magnetic moment: 0.00 μB/cell
crystal system: orthorhombic
energy relative to the elements, uncorrected: -110 kJ/mol of formula units
E: -37.1 eV for the cell shown
offset from the most stable computed form: 248 meV/atom
V: 427 Å³ per cell

```
RbGaS
1.0
7.6266 -0.6371 0.0000
-0.7667 7.6147 0.0000
-3.4299 -3.4888 7.4144
Ga Rb S
4 4 4
Direct
0.1250 0.8750 0.2500
0.1250 0.3750 0.2500
0.1250 0.8750 0.7500
0.6250 0.8750 0.7500
0.6039 0.1039 0.2078
0.3539 0.3539 0.7078
0.8961 0.3961 0.7922
0.6461 0.6461 0.2922
0.7647 0.7647 0.0000
0.2353 0.2353 0.0000
0.4853 0.9853 0.5000
0.0147 0.5147 0.5000
```


A plane-wave DFT calculation with PBE was carried out for a geometry-optimized Rb2GaS2 structure.

Values from the calculation:
space-group type: P4/mbm, No. 127
magnetic moment: 0.00 μB/cell
crystal system: tetragonal
energy relative to the elements, uncorrected: -250 kJ/mol of formula units
E: -31.6 eV for the cell shown
offset from the most stable computed form: 0 meV/atom
V: 296 Å³ per cell

```
Rb2GaS2
1.0
7.6835 0.0000 0.0000
0.0000 7.6835 0.0000
0.0000 0.0000 5.0172
Ga Rb S
2 4 4
Direct
0.5000 0.5000 0.0000
0.0000 0.0000 0.0000
0.1436 0.6436 0.5000
0.3564 0.1436 0.5000
0.6436 0.8564 0.5000
0.8564 0.3564 0.5000
0.6850 0.1850 0.0000
0.8150 0.6850 0.0000
0.1850 0.3150 0.0000
0.3150 0.8150 0.0000
```


A plane-wave DFT calculation with PBE was carried out for a geometry-optimized RbGaS structure.

Values from the calculation:
space-group type: P3m1, No. 156
magnetic moment: 0.00 μB/cell
crystal system: trigonal
energy relative to the elements, uncorrected: -182 kJ/mol of formula units
E: -10.0 eV for the cell shown
offset from the most stable computed form: 0 meV/atom
V: 90 Å³ per cell

```
RbGaS
1.0
4.0305 0.0000 0.0000
-2.0153 3.4905 0.0000
0.0000 0.0000 6.3658
Rb S Ga
1 1 1
Direct
0.0000 0.0000 0.0310
0.6667 0.3333 0.3871
0.3333 0.6667 0.5819
```


A plane-wave DFT calculation with PBE was carried out for a geometry-optimized Rb2GaS8 structure.

Values from the calculation:
space-group type: P-1, No. 2
magnetic moment: 0.00 μB/cell
crystal system: triclinic
energy relative to the elements, uncorrected: -368 kJ/mol of formula units
E: -41.8 eV for the cell shown
V: 327 Å³ per cell

```
Rb2GaS8
1.0
14.2145 2.7156 4.5847
8.2823 5.7724 3.9056
4.9864 1.7692 7.3340
Rb S Ga
2 8 1
Direct
0.6575 0.9882 0.0872
0.3425 0.0118 0.9128
0.2646 0.6004 0.2915
0.0827 0.0450 0.5709
0.8958 0.4658 0.8075
0.9173 0.9550 0.4291
0.7354 0.3996 0.7085
0.7722 0.4438 0.1756
0.2278 0.5562 0.8244
0.1042 0.5342 0.1925
0.0000 0.0000 0.0000
```


Repeat the first record exactly.
A plane-wave DFT calculation with PBE was carried out for a geometry-optimized RbGaS structure.

Values from the calculation:
space-group type: Fddd, No. 70
magnetic moment: 0.00 μB/cell
crystal system: orthorhombic
energy relative to the elements, uncorrected: -110 kJ/mol of formula units
E: -37.1 eV for the cell shown
offset from the most stable computed form: 248 meV/atom
V: 427 Å³ per cell

```
RbGaS
1.0
7.6266 -0.6371 0.0000
-0.7667 7.6147 0.0000
-3.4299 -3.4888 7.4144
Ga Rb S
4 4 4
Direct
0.1250 0.8750 0.2500
0.1250 0.3750 0.2500
0.1250 0.8750 0.7500
0.6250 0.8750 0.7500
0.6039 0.1039 0.2078
0.3539 0.3539 0.7078
0.8961 0.3961 0.7922
0.6461 0.6461 0.2922
0.7647 0.7647 0.0000
0.2353 0.2353 0.0000
0.4853 0.9853 0.5000
0.0147 0.5147 0.5000
```